[1]
Zn2Cd3Ag8 | PBE | optimized geometry

As for the crystal system: monoclinic. The density of states at the Fermi level is 3.54 states/eV/cell. The energy of formation is 0.009 eV per atom.

The space group is P2/m (No. 10) and the conventional cell measures 9.396, 2.974 and 9.778 Å, with angles of 90.00, 117.87 and 90.00 degrees. The inequivalent atoms are Zn at (0.039, 0.000, 0.380), Cd at (0.428, 0.500, 0.228), Cd at (0.500, 0.000, 0.000), Ag at (0.132, 0.000, 0.150), Ag at (0.164, 0.500, 0.891), Ag at (0.265, 0.000, 0.682) and Ag at (0.316, 0.500, 0.451).

[2]
Zn7CdAg3 | PBE | optimized geometry

As for the crystal system: monoclinic. The density of states at the Fermi level is 4.86 states/eV/cell. The energy of formation is 0.110 eV per atom.

The space group is C2/m (No. 12) and the conventional cell measures 9.386, 9.063 and 5.126 Å, with angles of 90.00, 114.97 and 90.00 degrees. The inequivalent atoms are Zn at (0.000, 0.000, 0.000), Zn at (0.189, 0.266, 0.686), Zn at (0.224, 0.500, 0.037), Cd at (0.000, 0.000, 0.500), Ag at (0.000, 0.301, 0.000) and Ag at (0.000, 0.500, 0.500).